Computed, not measured: a geometry-optimized InPd12Pt3 structure at the PBE-GGA level of DFT.

## Properties
* crystal system: tetragonal
* calculated formation energy: -123 meV per atom
* N(E_F): 31.09 states/eV/f.u.
* spin magnetization: 0.00 μB per formula unit

Lattice parameters (Å, degrees): 3.9636 3.9636 15.9497 90.00 90.00 90.00
Atoms (fractional coordinates):
1 In 0.0000 0.0000 0.0000
2 Pd 0.0000 0.5000 0.1286
3 Pd 0.0000 0.5000 0.3771
4 Pd 0.0000 0.5000 0.6229
5 Pd 0.0000 0.5000 0.8714
6 Pd 0.5000 0.0000 0.1286
7 Pd 0.5000 0.0000 0.3771
8 Pd 0.5000 0.0000 0.6229
9 Pd 0.5000 0.0000 0.8714
10 Pd 0.5000 0.5000 0.0000
11 Pd 0.5000 0.5000 0.2525
12 Pd 0.5000 0.5000 0.5000
13 Pd 0.5000 0.5000 0.7475
14 Pt 0.0000 0.0000 0.2543
15 Pt 0.0000 0.0000 0.5000
16 Pt 0.0000 0.0000 0.7457


Computed, not measured: a geometry-optimized Cs6BrCl2O structure at the PBE-GGA level of DFT.

## Properties
* crystal system: trigonal
* raw formation energy: -1.39 eV per atom
* N(E_F): 2.55 states/eV/f.u.
* spin magnetization: 0.01 μB per formula unit

Lattice parameters (Å, degrees): 9.3239 9.3239 9.3239 54.22 54.22 54.22
Atoms (fractional coordinates):
1 Cs 0.0019 0.7232 0.2749
2 Cs 0.1657 0.4323 0.8496
3 Cs 0.2749 0.0019 0.7232
4 Cs 0.4323 0.8496 0.1657
5 Cs 0.7232 0.2749 0.0019
6 Cs 0.8496 0.1657 0.4323
7 Br 0.5847 0.5847 0.5847
8 Cl 0.3994 0.3994 0.3994
9 Cl 0.8882 0.8882 0.8882
10 O 0.0771 0.0771 0.0771


Computed, not measured: a geometry-optimized Tb3Pm6Tl structure at the PBE-GGA level of DFT.

## Properties
* crystal system: monoclinic
* calculated formation energy: 16 meV per atom
* N(E_F): 13.76 states/eV/f.u.
* spin magnetization: 0.00 μB per formula unit

Lattice parameters (Å, degrees): 12.3878 3.6211 14.8798 90.00 93.88 90.00
Atoms (fractional coordinates):
1 Tb 0.0526 0.2500 0.3037
2 Tb 0.1004 0.2500 0.0823
3 Tb 0.4262 0.2500 0.8187
4 Tb 0.5738 0.7500 0.1813
5 Tb 0.8996 0.7500 0.9177
6 Tb 0.9474 0.7500 0.6963
7 Pm 0.1129 0.7500 0.5033
8 Pm 0.1902 0.7500 0.8928
9 Pm 0.2047 0.2500 0.6881
10 Pm 0.3016 0.7500 0.2496
11 Pm 0.3806 0.2500 0.0461
12 Pm 0.4362 0.7500 0.6090
13 Pm 0.5638 0.2500 0.3910
14 Pm 0.6194 0.7500 0.9539
15 Pm 0.6984 0.2500 0.7504
16 Pm 0.7953 0.7500 0.3119
17 Pm 0.8098 0.2500 0.1072
18 Pm 0.8871 0.2500 0.4967
19 Tl 0.3115 0.2500 0.4413
20 Tl 0.6885 0.7500 0.5587


Computed, not measured: a geometry-optimized La2MgAs structure at the PBE-GGA level of DFT.

## Properties
* crystal system: cubic
* calculated formation energy: -512 meV per atom
* N(E_F): 3.86 states/eV/f.u.
* spin magnetization: 0.00 μB per formula unit

Lattice parameters (Å, degrees): 7.6208 7.6208 7.6208 90.00 90.00 90.00
Atoms (fractional coordinates):
1 La 0.2500 0.2500 0.2500
2 La 0.2500 0.2500 0.7500
3 La 0.2500 0.7500 0.2500
4 La 0.2500 0.7500 0.7500
5 La 0.7500 0.2500 0.2500
6 La 0.7500 0.2500 0.7500
7 La 0.7500 0.7500 0.2500
8 La 0.7500 0.7500 0.7500
9 Mg 0.0000 0.0000 0.0000
10 Mg 0.0000 0.5000 0.5000
11 Mg 0.5000 0.0000 0.5000
12 Mg 0.5000 0.5000 0.0000
13 As 0.0000 0.0000 0.5000
14 As 0.0000 0.5000 0.0000
15 As 0.5000 0.0000 0.0000
16 As 0.5000 0.5000 0.5000


Computed, not measured: a geometry-optimized Mn2Cr6Ga structure at the PBE-GGA level of DFT.

## Properties
* crystal system: monoclinic
* calculated formation energy: 433 meV per atom
* N(E_F): 11.07 states/eV/f.u.
* spin magnetization: 0.00 μB per formula unit

Lattice parameters (Å, degrees): 5.0118 5.0118 5.1247 91.70 91.70 60.80
Atoms (fractional coordinates):
1 Mn 0.0731 0.0731 0.3346
2 Mn 0.9269 0.9269 0.6654
3 Cr 0.0160 0.4321 0.7429
4 Cr 0.2841 0.7159 0.0000
5 Cr 0.4321 0.0160 0.7429
6 Cr 0.5679 0.9840 0.2571
7 Cr 0.7159 0.2841 0.0000
8 Cr 0.9840 0.5679 0.2571
9 Ga 0.5000 0.5000 0.5000


Computed, not measured: a geometry-optimized Sn3Pb4 structure at the PBE-GGA level of DFT.

## Properties
* crystal system: monoclinic
* calculated formation energy: 84 meV per atom
* N(E_F): 4.45 states/eV/f.u.
* spin magnetization: 0.00 μB per formula unit

Lattice parameters (Å, degrees): 8.3749 3.3954 15.2155 90.00 91.70 90.00
Atoms (fractional coordinates):
1 Sn 0.0000 0.0000 0.0000
2 Sn 0.1422 0.0000 0.5636
3 Sn 0.3578 0.5000 0.4364
4 Sn 0.5000 0.5000 0.0000
5 Sn 0.6422 0.5000 0.5636
6 Sn 0.8578 0.0000 0.4364
7 Pb 0.0724 0.5000 0.2945
8 Pb 0.2148 0.5000 0.8620
9 Pb 0.2852 0.0000 0.1380
10 Pb 0.4276 0.0000 0.7055
11 Pb 0.5724 0.0000 0.2945
12 Pb 0.7148 0.0000 0.8620
13 Pb 0.7852 0.5000 0.1380
14 Pb 0.9276 0.5000 0.7055


E_tot values (in eV/atom) by entry order: -5.3211, -2.9325, -4.4604, -4.5372, -8.3564, -3.7505.